Entry 1:
A relaxed Al5NiIr4 crystal. Source: Alexandria, functional PBE.

Output
Formation enthalpy at 0 K: -85.3 kJ/mol of atoms

```
data_Al5NiIr4
_cell_length_a 2.962
_cell_length_b 2.962
_cell_length_c 15.343
_cell_angle_alpha 90.00
_cell_angle_beta 90.00
_cell_angle_gamma 90.00
_symmetry_space_group_name_H-M 'P 4/m m m'
_symmetry_Int_Tables_number 123
_symmetry_space_group_name_Hall '-P 4 2'
loop_
_atom_site_label
_atom_site_type_symbol
_atom_site_fract_x
_atom_site_fract_y
_atom_site_fract_z
Al1 Al 0.000 0.000 0.000
Al2 Al 0.000 0.000 0.204
Al3 Al 0.000 0.000 0.408
Ni1 Ni 0.500 0.500 0.500
Ir1 Ir 0.500 0.500 0.101
Ir2 Ir 0.500 0.500 0.304
```



Entry 2:
A relaxed AsClF crystal. Source: Alexandria, functional PBE.

Output
Energy above the lowest structure with this stoichiometry: 0.114 eV per atom
Formation energy (no corrections): -1.07 eV per atom

```
data_AsClF
_cell_length_a 12.649
_cell_length_b 3.165
_cell_length_c 7.644
_cell_angle_alpha 90.00
_cell_angle_beta 90.00
_cell_angle_gamma 90.00
_symmetry_space_group_name_H-M 'P n m a'
_symmetry_Int_Tables_number 62
loop_
_symmetry_equiv_pos_as_xyz
'x,y,z'
'-x,-y,-z'
'-x+1/2,-y,z+1/2'
'x+1/2,y,-z+1/2'
'x+1/2,-y+1/2,-z+1/2'
'-x+1/2,y+1/2,z+1/2'
'-x,y+1/2,-z'
'x,-y+1/2,z'
loop_
_atom_site_label
_atom_site_type_symbol
_atom_site_fract_x
_atom_site_fract_y
_atom_site_fract_z
As1 As 0.120 0.250 0.158
Cl1 Cl 0.151 0.250 0.438
F1 F 0.023 0.750 0.832
```



Entry 3:
A relaxed AcPd3Pb3 crystal. Source: Alexandria, functional PBE.

Output
Energy above the lowest structure with this stoichiometry: 0.085 eV per atom
Formation enthalpy at 0 K: -35.2 kJ/mol of atoms

```
data_AcPd3Pb3
_cell_length_a 8.9091
_cell_length_b 8.9091
_cell_length_c 16.4546
_cell_angle_alpha 90.00
_cell_angle_beta 90.00
_cell_angle_gamma 120.00
_symmetry_space_group_name_H-M 'R -3'
_symmetry_Int_Tables_number 148
_symmetry_space_group_name_Hall '-R 3'
loop_
_atom_site_label
_atom_site_type_symbol
_atom_site_fract_x
_atom_site_fract_y
_atom_site_fract_z
Ac1 Ac 0.0000 0.0000 0.1663
Pd1 Pd 0.0035 0.3715 0.4372
Pb1 Pb 0.0083 0.2779 0.6041
```



Entry 4:
A relaxed Re2SiPt crystal. Source: Alexandria, functional PBE.

Output
Formation energy (no corrections): -0.14 eV per atom

```
data_Re2SiPt
_cell_length_a 2.8130
_cell_length_b 2.8130
_cell_length_c 25.5334
_cell_angle_alpha 90.00
_cell_angle_beta 90.00
_cell_angle_gamma 120.00
_symmetry_space_group_name_H-M 'R 3 m'
_symmetry_Int_Tables_number 160
_symmetry_space_group_name_Hall 'R 3 -2"'
loop_
_atom_site_label
_atom_site_type_symbol
_atom_site_fract_x
_atom_site_fract_y
_atom_site_fract_z
Re1 Re 0.0000 0.0000 0.0000
Re2 Re 0.0000 0.0000 0.2497
Si1 Si 0.0000 0.0000 0.5035
Pt1 Pt 0.0000 0.0000 0.7596
```



Entry 5:
A relaxed Fe5Tc crystal. Source: Alexandria, functional PBE.

Output
Energy above the lowest structure with this stoichiometry: 0.077 eV per atom
Formation enthalpy at 0 K: 9.9 kJ/mol of atoms

```
data_Fe5Tc
_cell_length_a 3.571
_cell_length_b 11.075
_cell_length_c 3.561
_cell_angle_alpha 90.00
_cell_angle_beta 90.00
_cell_angle_gamma 90.00
_symmetry_space_group_name_H-M 'C m m m'
_symmetry_Int_Tables_number 65
_symmetry_space_group_name_Hall '-C 2 2'
loop_
_atom_site_label
_atom_site_type_symbol
_atom_site_fract_x
_atom_site_fract_y
_atom_site_fract_z
Fe1 Fe 0.000 0.000 0.000
Fe2 Fe 0.000 0.167 0.500
Fe3 Fe 0.000 0.334 0.000
Tc1 Tc 0.000 0.500 0.500
```



Entry 6:
A relaxed Al5VCr crystal. Source: Alexandria, functional PBE.

Output
Formation enthalpy at 0 K: -5.4 kJ/mol of atoms

```
data_Al5VCr
_cell_length_a 4.992
_cell_length_b 9.071
_cell_length_c 9.281
_cell_angle_alpha 90.00
_cell_angle_beta 90.00
_cell_angle_gamma 90.00
_symmetry_space_group_name_H-M 'C c c m'
_symmetry_Int_Tables_number 66
_symmetry_space_group_name_Hall '-C 2 2c'
loop_
_atom_site_label
_atom_site_type_symbol
_atom_site_fract_x
_atom_site_fract_y
_atom_site_fract_z
Al1 Al 0.000 0.000 0.250
Al2 Al 0.240 0.451 0.000
Al3 Al 0.250 0.250 0.198
V1 V 0.250 0.250 0.500
Cr1 Cr 0.000 0.500 0.250
```



Entry 7:
A relaxed Ca2GdBr crystal. Source: Alexandria, functional PBE.

Output
Formation energy (no corrections): -0.66 eV per atom

```
data_Ca2GdBr
_cell_length_a 3.8451
_cell_length_b 3.8451
_cell_length_c 31.2846
_cell_angle_alpha 90.00
_cell_angle_beta 90.00
_cell_angle_gamma 120.00
_symmetry_space_group_name_H-M 'R -3 m'
_symmetry_Int_Tables_number 166
_symmetry_space_group_name_Hall '-R 3 2"'
loop_
_atom_site_label
_atom_site_type_symbol
_atom_site_fract_x
_atom_site_fract_y
_atom_site_fract_z
Ca1 Ca 0.0000 0.0000 0.2394
Gd1 Gd 0.0000 0.0000 0.0000
Br1 Br 0.0000 0.0000 0.5000
```



Entry 8:
A relaxed In2RuBr crystal. Source: Alexandria, functional PBE.

Output
Energy above the lowest structure with this stoichiometry: 0.096 eV per atom
Formation energy (no corrections): 0.01 eV per atom

```
data_In2RuBr
_cell_length_a 3.309
_cell_length_b 3.309
_cell_length_c 7.933
_cell_angle_alpha 90.00
_cell_angle_beta 90.00
_cell_angle_gamma 90.00
_symmetry_space_group_name_H-M 'P 4/m m m'
_symmetry_Int_Tables_number 123
_symmetry_space_group_name_Hall '-P 4 2'
loop_
_atom_site_label
_atom_site_type_symbol
_atom_site_fract_x
_atom_site_fract_y
_atom_site_fract_z
In1 In 0.000 0.000 0.198
Ru1 Ru 0.500 0.500 0.000
Br1 Br 0.500 0.500 0.500
```



Entry 9:
A relaxed ScSiRh2 crystal. Source: Alexandria, functional PBE.

Output
Formation energy (no corrections): -0.75 eV per atom

```
data_ScSiRh2
_cell_length_a 3.003
_cell_length_b 4.414
_cell_length_c 4.914
_cell_angle_alpha 90.00
_cell_angle_beta 107.72
_cell_angle_gamma 90.00
_symmetry_space_group_name_H-M 'P 1 m 1'
_symmetry_Int_Tables_number 6
loop_
_symmetry_equiv_pos_as_xyz
'x,y,z'
'x,-y,z'
loop_
_atom_site_label
_atom_site_type_symbol
_atom_site_fract_x
_atom_site_fract_y
_atom_site_fract_z
Sc1 Sc 0.000 0.000 0.000
Si1 Si 0.642 0.500 0.289
Rh1 Rh 0.369 0.500 0.750
Rh2 Rh 0.723 0.000 0.472
```



Entry 10:
A relaxed PmBiPb2O8 crystal. Source: Alexandria, functional PBE.

Output
Formation energy (no corrections): -1.33 eV per atom

```
data_PmBiPb2O8
_cell_length_a 5.404
_cell_length_b 5.404
_cell_length_c 11.485
_cell_angle_alpha 90.00
_cell_angle_beta 90.00
_cell_angle_gamma 90.00
_symmetry_space_group_name_H-M 'I -4'
_symmetry_Int_Tables_number 82
loop_
_symmetry_equiv_pos_as_xyz
'x,y,z'
'y,-x,-z'
'-x,-y,z'
'-y,x,-z'
'x+1/2,y+1/2,z+1/2'
'y+1/2,-x+1/2,-z+1/2'
'-x+1/2,-y+1/2,z+1/2'
'-y+1/2,x+1/2,-z+1/2'
loop_
_atom_site_label
_atom_site_type_symbol
_atom_site_fract_x
_atom_site_fract_y
_atom_site_fract_z
Pm1 Pm 0.000 0.000 0.000
Bi1 Bi 0.000 0.500 0.250
Pb1 Pb 0.000 0.000 0.500
Pb2 Pb 0.000 0.500 0.750
O1 O 0.215 0.249 0.399
O2 O 0.222 0.775 0.840
```



Entry 11:
A relaxed PuMoAs2 crystal. Source: Alexandria, functional PBE.

Output
Formation enthalpy at 0 K: -41.6 kJ/mol of atoms

```
data_PuMoAs2
_cell_length_a 3.212
_cell_length_b 3.212
_cell_length_c 7.128
_cell_angle_alpha 90.00
_cell_angle_beta 90.00
_cell_angle_gamma 90.00
_symmetry_space_group_name_H-M 'P 4/m m m'
_symmetry_Int_Tables_number 123
_symmetry_space_group_name_Hall '-P 4 2'
loop_
_atom_site_label
_atom_site_type_symbol
_atom_site_fract_x
_atom_site_fract_y
_atom_site_fract_z
Pu1 Pu 0.000 0.000 0.000
Mo1 Mo 0.000 0.000 0.500
As1 As 0.500 0.500 0.293
```



Entry 12:
A relaxed BaCoHg2 crystal. Source: Alexandria, functional PBE.

Output
Formation enthalpy at 0 K: 13.1 kJ/mol of atoms

```
data_BaCoHg2
_cell_length_a 3.916
_cell_length_b 5.643
_cell_length_c 9.728
_cell_angle_alpha 90.00
_cell_angle_beta 90.00
_cell_angle_gamma 90.00
_symmetry_space_group_name_H-M 'I m m m'
_symmetry_Int_Tables_number 71
_symmetry_space_group_name_Hall '-I 2 2'
loop_
_atom_site_label
_atom_site_type_symbol
_atom_site_fract_x
_atom_site_fract_y
_atom_site_fract_z
Ba1 Ba 0.000 0.000 0.000
Co1 Co 0.000 0.000 0.500
Hg1 Hg 0.000 0.500 0.197
```



no.,total DFT energy (no corrections) (eV per atom)
1,-6.878
2,-3.854
3,-4.767
4,-9.234
5,-8.677
6,-5.406
7,-5.595
8,-4.098
9,-7.369
10,-5.973
11,-9.047
12,-2.272